Ba4Hg2Br | PBE-GGA | optimized geometry

Unit cell a=6.3789 b=6.3789 c=9.4310 alpha=70.23 beta=70.23 gamma=90.00
With the nearest neighbours (Å) after each atom.
Fractional positions:
Ba1 0.5000 0.0000 0.0000  2 Br 3.19, 4 Hg 3.56
Ba2 0.7948 0.7948 0.4103  1 Hg 3.31, 1 Br 3.40
Ba3 0.2052 0.2052 0.5897  1 Hg 3.31, 1 Br 3.40
Ba4 0.0000 0.5000 0.0000  2 Br 3.19, 4 Hg 3.56
Hg1 0.4052 0.4052 0.1897  1 Hg 3.14, 1 Ba 3.31
Hg2 0.5948 0.5948 0.8103  1 Hg 3.14, 1 Ba 3.31
Br1 0.0000 0.0000 0.0000  6 Ba 3.19-3.40

Computed properties:
Uncorrected formation energy in eV/atom: -0.6107
ρ in g/cm3: 5.08